{
  "formula": "TbGdGa2Pd4",
  "functional": "PBE",
  "state": "relaxed",
  "lattice_angstrom": [[4.409, 0.000, 0.000], [-2.204, 3.818, 0.000], [0.000, 0.000, 9.112]],
  "species": ["Ga", "Ga", "Gd", "Pd", "Pd", "Pd", "Pd", "Tb"],
  "frac_coords": [[0.333, 0.667, 0.251], [0.333, 0.667, 0.749], [0.000, 0.000, 0.000], [0.667, 0.333, 0.170], [0.000, 0.000, 0.332], [0.000, 0.000, 0.668], [0.667, 0.333, 0.830], [0.667, 0.333, 0.500]],
  "crystal_system": "hexagonal",
  "vol_a3_per_atom": 19.2,
  "mass_density_g_cm3": 9.5,
  "magmom_total_mub_per_fu": 0.0,
  "total_energy_ev_per_atom": -5.393
}